(1)
# La2DyOs PBE relaxed
# Calculated density (g/cm³): 7.43
# Relative energy among the computed polymorphs (meV per atom): 471
# Calculated total energy (eV/f.u.): -24.46
data_La2DyOs
_cell_length_a 3.9295
_cell_length_b 3.9295
_cell_length_c 31.6171
_cell_angle_alpha 90.00
_cell_angle_beta 90.00
_cell_angle_gamma 120.00
_space_group_name_H-M_alt 'R -3 m'
_space_group_IT_number 166
_space_group_name_Hall '-R 3 2"'
loop_
_atom_site_label
_atom_site_type_symbol
_atom_site_fract_x
_atom_site_fract_y
_atom_site_fract_z
La1 La 0.0000 0.0000 0.1139
Dy1 Dy 0.0000 0.0000 0.0000
Os1 Os 0.0000 0.0000 0.5000

---

(2)
# La2DyOs PBE relaxed
# Calculated density (g/cm³): 8.88
# Relative energy among the computed polymorphs (meV per atom): 26
# Calculated total energy (eV/f.u.): -26.24
data_La2DyOs
_cell_length_a 4.127
_cell_length_b 12.207
_cell_length_c 9.365
_cell_angle_alpha 90.00
_cell_angle_beta 90.00
_cell_angle_gamma 90.00
_space_group_name_H-M_alt 'C m c m'
_space_group_IT_number 63
_space_group_name_Hall '-C 2c 2'
loop_
_atom_site_label
_atom_site_type_symbol
_atom_site_fract_x
_atom_site_fract_y
_atom_site_fract_z
La1 La 0.000 0.141 0.070
Dy1 Dy 0.000 0.418 0.250
Os1 Os 0.000 0.240 0.750

---

(3)
# La2DyOs PBE relaxed
# Calculated density (g/cm³): 8.90
# Relative energy among the computed polymorphs (meV per atom): 0
# Calculated total energy (eV/f.u.): -26.35
data_La2DyOs
_cell_length_a 7.463
_cell_length_b 9.788
_cell_length_c 6.444
_cell_angle_alpha 90.00
_cell_angle_beta 90.00
_cell_angle_gamma 90.00
_space_group_name_H-M_alt 'P n m a'
_space_group_IT_number 62
_space_group_name_Hall '-P 2ac 2n'
loop_
_atom_site_label
_atom_site_type_symbol
_atom_site_fract_x
_atom_site_fract_y
_atom_site_fract_z
La1 La 0.175 0.067 0.172
Dy1 Dy 0.044 0.250 0.649
Os1 Os 0.115 0.750 0.952

---

(4)
# LaDyOsPd PBE relaxed
# Calculated density (g/cm³): 11.25
# Calculated total energy (eV/f.u.): -27.59
data_LaDyOsPd
_cell_length_a 7.067
_cell_length_b 7.067
_cell_length_c 7.067
_cell_angle_alpha 90.00
_cell_angle_beta 90.00
_cell_angle_gamma 90.00
_space_group_name_H-M_alt 'F -4 3 m'
_space_group_IT_number 216
_space_group_name_Hall 'F -4 2 3'
loop_
_atom_site_label
_atom_site_type_symbol
_atom_site_fract_x
_atom_site_fract_y
_atom_site_fract_z
La1 La 0.000 0.000 0.000
Dy1 Dy 0.000 0.000 0.500
Os1 Os 0.250 0.250 0.750
Pd1 Pd 0.250 0.250 0.250

---

no.,formation energy from the elements (eV/atom)
1,0.31
2,-0.14
3,-0.16
4,-0.41